Entry from the Alexandria database: a geometry-optimized Sr2Zn4Pt3Au structure (PBE-GGA).

- ΔE_f (kJ per mole of atoms) = -61.4
- DFT total energy (eV/atom) = -3.623

Cell: 4.477 4.477 10.283 Å, 90.00 90.00 90.00°
Space group P-4m2 (No. 115)
Unique sites:
Sr  0.000  0.500  0.249
Zn  0.000  0.000  0.500
Zn  0.000  0.500  0.871
Zn  0.500  0.500  0.500
Pt  0.000  0.000  0.000
Pt  0.000  0.500  0.626
Au  0.500  0.500  0.000